No. 1
A geometry-optimized Sn3Ge2Pd8 structure, computed with PBE-GGA.

Output
Energy of formation (meV per atom): -279

Cell lengths 5.4655, 5.4655, 9.7603 Å; angles 73.74, 73.74, 60.00 degrees
Closest atoms and distances in Å follow each position.
Positions (direct):
Sn (0.0000, 0.0000, 0.0000)  6 Ge 3.33, 12 Pd 3.34-3.43
Sn (0.8089, 0.8089, 0.5733)  10 Pd 2.60-2.91
Sn (0.1911, 0.1911, 0.4267)  10 Pd 2.60-2.91
Ge (0.6288, 0.6288, 0.1135)  4 Pd 2.39-2.48
Ge (0.3712, 0.3712, 0.8865)  4 Pd 2.39-2.48
Pd (0.7153, 0.7153, 0.8542)  1 Ge 2.39, 1 Sn 2.60
Pd (0.2847, 0.2847, 0.1458)  1 Ge 2.39, 1 Sn 2.60
Pd (0.2238, 0.7282, 0.3198)  1 Ge 2.48, 4 Pd 2.71-2.76
Pd (0.7282, 0.2238, 0.3198)  1 Ge 2.48, 4 Pd 2.71-2.76
Pd (0.7282, 0.7282, 0.3198)  1 Ge 2.48, 4 Pd 2.71-2.76
Pd (0.2718, 0.7762, 0.6802)  1 Ge 2.48, 4 Pd 2.71-2.76
Pd (0.7762, 0.2718, 0.6802)  1 Ge 2.48, 4 Pd 2.71-2.76
Pd (0.2718, 0.2718, 0.6802)  1 Ge 2.48, 4 Pd 2.71-2.76

No. 2
A geometry-optimized UOF4 structure, computed with PBE-GGA.

Output
ΔE_f (raw) (meV per atom): -3256

Cell lengths 8.0271, 8.0271, 8.0271 Å; angles 114.43, 114.43, 114.43 degrees
Closest atoms and distances in Å follow each position.
Positions (direct):
U (0.8552, 0.2693, 0.8552)  1 O 1.80, 1 F 1.97
U (0.2693, 0.8552, 0.8552)  1 O 1.80, 1 F 1.97
U (0.8552, 0.8552, 0.2693)  1 O 1.80, 1 F 1.97
O (0.1789, 0.5917, 0.5917)  1 U 1.80
O (0.5917, 0.5917, 0.1789)  1 U 1.80
O (0.5917, 0.1789, 0.5917)  1 U 1.80
F (0.9461, 0.1448, 0.6162)  2 U 2.29-2.32
F (0.6162, 0.9461, 0.1448)  2 U 2.29-2.32
F (0.1448, 0.6162, 0.9461)  2 U 2.29-2.32
F (0.1495, 0.1495, 0.3781)  1 U 1.97
F (0.3781, 0.1495, 0.1495)  1 U 1.97
F (0.6663, 0.8949, 0.6663)  1 U 2.05
F (0.6162, 0.1448, 0.9461)  2 U 2.29-2.32
F (0.1448, 0.9461, 0.6162)  2 U 2.29-2.32
F (0.1495, 0.3781, 0.1495)  1 U 1.97
F (0.8949, 0.6663, 0.6663)  1 U 2.05
F (0.6663, 0.6663, 0.8949)  1 U 2.05
F (0.9461, 0.6162, 0.1448)  2 U 2.29-2.32

No. 3
A geometry-optimized ScSi2Au structure, computed with PBE-GGA.

Output
ΔE_f (raw) (meV per atom): -254

Cell lengths 4.2220, 4.2220, 5.2099 Å; angles 71.88, 71.88, 55.33 degrees
Closest atoms and distances in Å follow each position.
Positions (direct):
Au (0.7500, 0.7500, 0.7500)  6 Si 2.51-2.59
Sc (0.2500, 0.2500, 0.2500)  6 Si 2.77-2.84
Si (0.0139, 0.0139, 0.9417)  3 Au 2.51-2.59, 1 Sc 2.77
Si (0.4861, 0.4861, 0.5583)  3 Au 2.51-2.59, 1 Sc 2.77

No. 4
A geometry-optimized YHoMnZn structure, computed with PBE-GGA.

Output
Energy of formation (meV per atom): -47

Cell lengths 5.0103, 5.0103, 5.0103 Å; angles 60.00, 60.00, 60.00 degrees
Closest atoms and distances in Å follow each position.
Positions (direct):
Y (0.7500, 0.7500, 0.7500)  4 Mn 3.07, 4 Zn 3.07
Zn (0.0000, 0.0000, 0.0000)  4 Ho 3.07, 4 Y 3.07
Mn (0.5000, 0.5000, 0.5000)  4 Ho 3.07, 4 Y 3.07
Ho (0.2500, 0.2500, 0.2500)  4 Mn 3.07, 4 Zn 3.07

No. 5
A geometry-optimized TiTl2As structure, computed with PBE-GGA.

Output
Energy of formation (meV per atom): 440

Cell lengths 5.1253, 5.1253, 5.1253 Å; angles 60.00, 60.00, 60.00 degrees
Closest atoms and distances in Å follow each position.
Positions (direct):
Tl (0.2500, 0.2500, 0.2500)  4 As 3.14, 4 Ti 3.14
Tl (0.7500, 0.7500, 0.7500)  4 As 3.14, 4 Ti 3.14
As (0.5000, 0.5000, 0.5000)  8 Tl 3.14
Ti (0.0000, 0.0000, 0.0000)  8 Tl 3.14

No. 6
A geometry-optimized SbPOs2 structure, computed with PBE-GGA.

Output
ΔE_f (raw) (meV per atom): 336

Cell lengths 4.2245, 4.2245, 5.5663 Å; angles 78.77, 78.77, 41.34 degrees
Closest atoms and distances in Å follow each position.
Positions (direct):
Sb (0.5000, 0.5000, 0.0000)  6 Os 2.78-2.79, 2 Sb 2.98
P (0.0000, 0.0000, 0.5000)  6 Os 2.49-2.53
Os (0.2597, 0.2597, 0.7006)  3 P 2.49-2.53, 2 Os 2.72, 1 Sb 2.78
Os (0.7403, 0.7403, 0.2994)  3 P 2.49-2.53, 2 Os 2.72, 1 Sb 2.78

No. 7
A geometry-optimized Sm2RuI structure, computed with PBE-GGA.

Output
ΔE_f (raw) (meV per atom): -612

Cell lengths 4.1203, 4.1203, 8.4061 Å; angles 89.98, 104.20, 120.01 degrees
Closest atoms and distances in Å follow each position.
Positions (direct):
Sm (0.5437, 0.2719, 0.8157)  3 Ru 2.80
Sm (0.4563, 0.7280, 0.1843)  3 Ru 2.80
Ru (0.0000, 0.0000, 0.0000)  6 Sm 2.80
I (0.0000, 0.5000, 0.5000)  6 Sm 3.48

No. 8
A geometry-optimized Hf2FeAg structure, computed with PBE-GGA.

Output
Energy of formation (meV per atom): -3

Cell lengths 3.2792, 4.6582, 4.6582 Å; angles 90.00, 90.00, 90.00 degrees
Closest atoms and distances in Å follow each position.
Positions (direct):
Hf (0.0000, 0.0000, 0.5000)  4 Fe 2.85, 4 Ag 2.85
Hf (0.0000, 0.5000, 0.0000)  4 Ag 2.85, 4 Fe 2.85
Fe (0.5000, 0.0000, 0.0000)  8 Hf 2.85
Ag (0.5000, 0.5000, 0.5000)  8 Hf 2.85

No. 9
A geometry-optimized TmGa3CoOs structure, computed with PBE-GGA.

Output
Energy of formation (meV per atom): -185

Cell lengths 5.4932, 7.7953, 6.4789 Å; angles 126.98, 90.00, 90.00 degrees
Closest atoms and distances in Å follow each position.
Positions (direct):
Tm (0.7500, 0.2929, 0.5858)  1 Co 2.67, 2 Ga 2.96, 1 Os 2.98
Tm (0.2500, 0.7071, 0.4142)  1 Co 2.67, 2 Ga 2.96, 1 Os 2.98
Ga (0.2500, 0.1869, 0.3738)  1 Co 2.29, 1 Os 2.40
Ga (0.0000, 0.2482, 0.0000)  2 Co 2.40, 2 Os 2.54
Ga (0.5000, 0.7518, 0.0000)  2 Co 2.40, 2 Os 2.54
Ga (0.5000, 0.2482, 0.0000)  2 Co 2.40, 2 Os 2.54
Ga (0.0000, 0.7518, 0.0000)  2 Co 2.40, 2 Os 2.54
Ga (0.7500, 0.8131, 0.6262)  1 Co 2.29, 1 Os 2.40
Co (0.2500, 0.9655, 0.9310)  5 Ga 2.29-2.40
Co (0.7500, 0.0345, 0.0690)  5 Ga 2.29-2.40
Os (0.2500, 0.4192, 0.8383)  5 Ga 2.40-2.54
Os (0.7500, 0.5808, 0.1617)  5 Ga 2.40-2.54

No. 10
A geometry-optimized AlSi2Ni structure, computed with PBE-GGA.

Output
ΔE_f (raw) (meV per atom): -134

Cell lengths 3.9175, 3.9175, 9.9173 Å; angles 90.00, 90.00, 120.00 degrees
Closest atoms and distances in Å follow each position.
Positions (direct):
Al (0.6667, 0.3333, 0.5824)  3 Ni 2.32
Al (0.3333, 0.6667, 0.4176)  3 Ni 2.32
Si (0.6667, 0.3333, 0.0372)  4 Si 2.38
Si (0.3333, 0.6667, 0.9628)  4 Si 2.38
Si (0.6667, 0.3333, 0.2772)  1 Si 2.38, 3 Ni 2.43, 3 Al 2.66
Si (0.3333, 0.6667, 0.7228)  1 Si 2.38, 3 Ni 2.43, 3 Al 2.66
Ni (0.0000, 0.0000, 0.3655)  3 Al 2.32, 3 Si 2.43
Ni (0.0000, 0.0000, 0.6345)  3 Al 2.32, 3 Si 2.43

No. 11
A geometry-optimized SiAg2C structure, computed with PBE-GGA.

Output
ΔE_f (raw) (meV per atom): 1394

Cell lengths 4.3607, 4.3607, 4.3607 Å; angles 60.00, 60.00, 60.00 degrees
Closest atoms and distances in Å follow each position.
Positions (direct):
Si (0.5000, 0.5000, 0.5000)  8 Ag 2.67
C (0.0000, 0.0000, 0.0000)  8 Ag 2.67
Ag (0.2500, 0.2500, 0.2500)  4 C 2.67, 4 Si 2.67
Ag (0.7500, 0.7500, 0.7500)  4 C 2.67, 4 Si 2.67

No. 12
A geometry-optimized Ti3AlH structure, computed with PBE-GGA.

Output
E (eV/atom): -6.2219

Cell lengths 7.2660, 7.2660, 7.2660 Å; angles 41.26, 41.26, 41.26 degrees
Closest atoms and distances in Å follow each position.
Positions (direct):
H (0.1662, 0.1662, 0.1662)  6 Ti 2.05-2.06
H (0.8338, 0.8338, 0.8338)  6 Ti 2.05-2.06
Al (0.3331, 0.3331, 0.3331)  6 Ti 2.77, 3 Al 2.96
Al (0.6669, 0.6669, 0.6669)  6 Ti 2.77, 3 Al 2.96
Ti (0.4421, 0.1123, 0.7745)  2 H 2.05-2.06
Ti (0.1123, 0.7745, 0.4421)  2 H 2.05-2.06
Ti (0.2255, 0.5579, 0.8877)  2 H 2.05-2.06
Ti (0.8877, 0.2255, 0.5579)  2 H 2.05-2.06
Ti (0.5579, 0.8877, 0.2255)  2 H 2.05-2.06
Ti (0.7745, 0.4421, 0.1123)  2 H 2.05-2.06

No. 13
A geometry-optimized UTePbO6 structure, computed with PBE-GGA.

Output
ΔE_f (raw) (meV per atom): -1941

Cell lengths 5.7951, 5.7951, 10.4309 Å; angles 90.00, 90.00, 120.00 degrees
Closest atoms and distances in Å follow each position.
Positions (direct):
U (0.6667, 0.3333, 0.2500)  6 O 2.11
U (0.3333, 0.6667, 0.7500)  6 O 2.11
Te (0.3333, 0.6667, 0.2500)  6 O 2.18
Te (0.6667, 0.3333, 0.7500)  6 O 2.18
Pb (0.0000, 0.0000, 0.0000)  6 O 2.61
Pb (0.0000, 0.0000, 0.5000)  6 O 2.61
O (0.6367, 0.6272, 0.1441)  1 U 2.11, 1 Te 2.18
O (0.9905, 0.3633, 0.1441)  1 U 2.11, 1 Te 2.18
O (0.3633, 0.9905, 0.6441)  1 U 2.11, 1 Te 2.18
O (0.0095, 0.6367, 0.8559)  1 U 2.11, 1 Te 2.18
O (0.3728, 0.3633, 0.3559)  1 U 2.11, 1 Te 2.18
O (0.9905, 0.6272, 0.3559)  1 U 2.11, 1 Te 2.18
O (0.6272, 0.9905, 0.8559)  1 U 2.11, 1 Te 2.18
O (0.6367, 0.0095, 0.3559)  1 U 2.11, 1 Te 2.18
O (0.0095, 0.3728, 0.6441)  1 U 2.11, 1 Te 2.18
O (0.3728, 0.0095, 0.1441)  1 U 2.11, 1 Te 2.18
O (0.6272, 0.6367, 0.6441)  1 U 2.11, 1 Te 2.18
O (0.3633, 0.3728, 0.8559)  1 U 2.11, 1 Te 2.18

No. 14
A geometry-optimized PmEr4Pb4 structure, computed with PBE-GGA.

Output
Energy of formation (meV per atom): -199

Cell lengths 6.1565, 9.9925, 9.9925 Å; angles 90.00, 90.00, 90.00 degrees
Closest atoms and distances in Å follow each position.
Positions (direct):
Pm (0.0000, 0.0000, 0.0000)  4 Pb 3.19
Pm (0.5000, 0.5000, 0.5000)  4 Pb 3.19
Er (0.4100, 0.3438, 0.8994)  5 Pb 3.09-3.20
Er (0.9100, 0.6006, 0.8438)  5 Pb 3.09-3.20
Er (0.4100, 0.6562, 0.1006)  5 Pb 3.09-3.20
Er (0.0900, 0.1562, 0.6006)  5 Pb 3.09-3.20
Er (0.5900, 0.8994, 0.6562)  5 Pb 3.09-3.20
Er (0.0900, 0.8438, 0.3994)  5 Pb 3.09-3.20
Er (0.9100, 0.3994, 0.1562)  5 Pb 3.09-3.20
Er (0.5900, 0.1006, 0.3438)  5 Pb 3.09-3.20
Pb (0.5815, 0.7866, 0.3684)  5 Er 3.09-3.20, 1 Pm 3.19, 1 Pb 3.23
Pb (0.5815, 0.2134, 0.6316)  5 Er 3.09-3.20, 1 Pm 3.19, 1 Pb 3.23
Pb (0.0815, 0.8684, 0.7134)  5 Er 3.09-3.20, 1 Pm 3.19, 1 Pb 3.23
Pb (0.9185, 0.2866, 0.8684)  5 Er 3.09-3.20, 1 Pm 3.19, 1 Pb 3.23
Pb (0.9185, 0.7134, 0.1316)  5 Er 3.09-3.20, 1 Pm 3.19, 1 Pb 3.23
Pb (0.4185, 0.3684, 0.2134)  5 Er 3.09-3.20, 1 Pm 3.19, 1 Pb 3.23
Pb (0.4185, 0.6316, 0.7866)  5 Er 3.09-3.20, 1 Pm 3.19, 1 Pb 3.23
Pb (0.0815, 0.1316, 0.2866)  5 Er 3.09-3.20, 1 Pm 3.19, 1 Pb 3.23

No. 15
A geometry-optimized Ba2ScCd2O6 structure, computed with PBE-GGA.

Output
ΔE_f (raw) (meV per atom): -1899

Cell lengths 6.3584, 6.3584, 6.7907 Å; angles 62.08, 62.08, 60.00 degrees
Closest atoms and distances in Å follow each position.
Positions (direct):
Ba (0.7933, 0.7933, 0.6202)  3 O 2.65
Ba (0.2067, 0.2067, 0.3798)  3 O 2.65
Sc (0.0000, 0.0000, 0.0000)  6 O 2.13
Cd (0.4123, 0.4123, 0.7632)  3 O 2.08
Cd (0.5877, 0.5877, 0.2368)  3 O 2.08
O (0.7727, 0.7727, 0.2494)  1 Cd 2.08, 1 Sc 2.13
O (0.2052, 0.7727, 0.2494)  1 Cd 2.08, 1 Sc 2.13
O (0.7727, 0.2052, 0.2494)  1 Cd 2.08, 1 Sc 2.13
O (0.2273, 0.7948, 0.7506)  1 Cd 2.08, 1 Sc 2.13
O (0.7948, 0.2273, 0.7506)  1 Cd 2.08, 1 Sc 2.13
O (0.2273, 0.2273, 0.7506)  1 Cd 2.08, 1 Sc 2.13

No. 16
A geometry-optimized Bi2RhO2 structure, computed with PBE-GGA.

Output
ΔE_f (raw) (meV per atom): -488

Cell lengths 4.9494, 4.9494, 5.0662 Å; angles 60.76, 60.76, 90.00 degrees
Closest atoms and distances in Å follow each position.
Positions (direct):
Rh (0.0000, 0.0000, 0.0000)  2 O 2.10
Bi (0.7500, 0.2500, 0.5000)  4 O 2.49
Bi (0.2500, 0.7500, 0.5000)  4 O 2.49
O (0.2869, 0.2869, 0.4262)  1 Rh 2.10
O (0.7131, 0.7131, 0.5738)  1 Rh 2.10

No. 17
A geometry-optimized CaLa2Er2 structure, computed with PBE-GGA.

Output
Energy of formation (meV per atom): 36

Cell lengths 5.6043, 3.5985, 9.3647 Å; angles 90.03, 107.41, 90.00 degrees
Closest atoms and distances in Å follow each position.
Positions (direct):
Ca (0.0000, 0.5000, 0.0000)  2 Er 3.59, 2 Ca 3.60, 8 La 3.99
La (0.6230, 0.9997, 0.2460)  2 La 3.60, 6 Er 3.61-3.62, 4 Ca 3.99
La (0.3770, 0.0003, 0.7540)  2 La 3.60, 6 Er 3.61-3.62, 4 Ca 3.99
Er (0.7990, 0.5002, 0.5980)  4 Er 3.30-3.60, 1 Ca 3.59, 6 La 3.61-3.62
Er (0.2010, 0.4998, 0.4020)  4 Er 3.30-3.60, 1 Ca 3.59, 6 La 3.61-3.62

No. 18
A geometry-optimized SrLa2Zn2Ga2 structure, computed with PBE-GGA.

Output
Energy of formation (meV per atom): -389

Cell lengths 4.5584, 4.5584, 10.1828 Å; angles 77.07, 77.07, 60.00 degrees
Closest atoms and distances in Å follow each position.
Positions (direct):
Sr (0.0000, 0.0000, 0.0000)  6 Ga 3.48, 6 Zn 3.52
La (0.1369, 0.1369, 0.5892)  3 Zn 3.13, 3 La 3.16, 3 Ga 3.16
La (0.8631, 0.8631, 0.4108)  3 Zn 3.13, 3 La 3.16, 3 Ga 3.16
Zn (0.5874, 0.5874, 0.2376)  3 Ga 2.63
Zn (0.4126, 0.4126, 0.7624)  3 Ga 2.63
Ga (0.7440, 0.7440, 0.7679)  3 Zn 2.63
Ga (0.2560, 0.2560, 0.2321)  3 Zn 2.63

No. 19
A geometry-optimized PbBrCl5 structure, computed with PBE-GGA.

Output
ΔE_f (raw) (meV per atom): -448

Cell lengths 9.4673, 9.4275, 11.7941 Å; angles 139.02, 107.17, 71.69 degrees
Closest atoms and distances in Å follow each position.
Positions (direct):
Pb (0.6282, 0.3803, 0.7494)  4 Cl 2.42
Pb (0.3696, 0.6219, 0.2487)  4 Cl 2.42
Br (0.9995, 0.0018, 0.0003)  2 Cl 2.41
Br (0.9995, 0.5018, 0.5003)  2 Cl 2.41
Cl (0.9075, 0.1575, 0.2504)  2 Br 2.41
Cl (0.0913, 0.8461, 0.7499)  2 Br 2.41
Cl (0.6140, 0.7097, 0.4081)  1 Pb 2.42
Cl (0.3039, 0.7129, 0.0931)  1 Pb 2.42
Cl (0.3708, 0.2345, 0.0451)  1 Pb 2.42
Cl (0.1833, 0.8239, 0.4482)  1 Pb 2.42
Cl (0.6277, 0.7667, 0.9499)  1 Pb 2.42
Cl (0.8122, 0.1742, 0.5465)  1 Pb 2.42
Cl (0.6970, 0.2931, 0.9079)  1 Pb 2.42
Cl (0.3828, 0.2931, 0.5931)  1 Pb 2.42

No. 20
A geometry-optimized Si3PbS structure, computed with PBE-GGA.

Output
ΔE_f (raw) (meV per atom): 697

Cell lengths 4.7693, 4.7693, 4.7693 Å; angles 90.00, 90.00, 90.00 degrees
Closest atoms and distances in Å follow each position.
Positions (direct):
Pb (0.5000, 0.5000, 0.5000)  12 Si 3.37
S (0.0000, 0.0000, 0.0000)  6 Si 2.38
Si (0.0000, 0.5000, 0.0000)  2 S 2.38
Si (0.0000, 0.0000, 0.5000)  2 S 2.38
Si (0.5000, 0.0000, 0.0000)  2 S 2.38